# 1
Below is a relaxed structure of GaCo2Ni8, with properties calculated at the PBE level.

The total magnetization is 7.7 μB/f.u. Its crystal system is monoclinic. The calculation puts the total energy at -5.62 eV per atom. The volume is 130 Å³/f.u.

The structure belongs to space group C2/m (No. 12); the cell edges are 6.3536, 11.2844 and 4.2333 Å and the angles 90.00°, 121.26° and 90.00°. The inequivalent atoms are Ga at (0.0000, 0.0000, 0.0000), Co at (0.0000, 0.3067, 0.5000), Ni at (0.0000, 0.2109, 0.0000), Ni at (0.0835, 0.5000, 0.8060) and Ni at (0.2171, 0.1168, 0.6524).

# 2
Below is a relaxed structure of Ga6Co3Ni, with properties calculated at the PBE level.

The total magnetization is 0.2 μB/f.u. Its crystal system is monoclinic. The calculation puts the total energy at -4.63 eV per atom. The volume is 143 Å³/f.u.

The structure belongs to space group P2_1/c (No. 14); the cell edges are 6.1376, 6.3140 and 9.5740 Å and the angles 90.00°, 129.51° and 90.00°. The inequivalent atoms are Ga at (0.0162, 0.0557, 0.2528), Ga at (0.2181, 0.6568, 0.0655), Ga at (0.4193, 0.1551, 0.0645), Co at (0.2915, 0.1769, 0.7452), Co at (0.5000, 0.0000, 0.5000) and Ni at (0.0000, 0.0000, 0.0000).

# 3
Below is a relaxed structure of Ga2CoNi6, with properties calculated at the PBE level.

The total magnetization is 3.2 μB/f.u. Its crystal system is monoclinic. The calculation puts the total energy at -5.33 eV per atom. The volume is 108 Å³/f.u.

The structure belongs to space group C2/m (No. 12); the cell edges are 7.3431, 4.9450 and 6.2175 Å and the angles 90.00°, 106.81° and 90.00°. The inequivalent atoms are Ga at (0.1776, 0.0000, 0.0909), Co at (0.0000, 0.5000, 0.0000), Ni at (0.0484, 0.2388, 0.7017) and Ni at (0.2412, 0.5000, 0.4865).

# 4
Below is a relaxed structure of Ga3CoNi, with properties calculated at the PBE level.

The total magnetization is 1.6 μB/f.u. Its crystal system is cubic. The value obtained for the energy above the most stable polymorph in this dataset is 708 meV/atom. The volume is 89 Å³/f.u.

The structure belongs to space group Pm-3m (No. 221); the cell edges are 4.4632, 4.4632 and 4.4632 Å and the angles 90.00°, 90.00° and 90.00°. The inequivalent atoms are Ga at (0.0000, 0.0000, 0.5000), Co at (0.5000, 0.5000, 0.5000) and Ni at (0.0000, 0.0000, 0.0000).

# 5
Below is a relaxed structure of Ga6CoNi5, with properties calculated at the PBE level.

The total magnetization is 0.6 μB/f.u. Its crystal system is monoclinic. The value obtained for the energy above the most stable polymorph in this dataset is 3 meV/atom. The volume is 148 Å³/f.u.

The structure belongs to space group C2/m (No. 12); the cell edges are 4.1351, 12.4612 and 5.7581 Å and the angles 90.00°, 90.12° and 90.00°. The inequivalent atoms are Ga at (0.0000, 0.0000, 0.2499), Ga at (0.0000, 0.3345, 0.2487), Co at (0.0000, 0.5000, 0.0000), Ni at (0.0000, 0.1664, 0.0000), Ni at (0.0000, 0.1694, 0.5000) and Ni at (0.0000, 0.5000, 0.5000).

# 6
Below is a relaxed structure of Ga11Co9Ni4, with properties calculated at the PBE level.

The total magnetization is 1.4 μB/f.u. Its crystal system is orthorhombic. The calculation puts the total energy at -5.24 eV per atom. The volume is 291 Å³/f.u.

The structure belongs to space group Cmmm (No. 65); the cell edges are 12.7336, 16.4906 and 2.7759 Å and the angles 90.00°, 90.00° and 90.00°. The inequivalent atoms are Ga at (0.0000, 0.0000, 0.0000), Ga at (0.0000, 0.1825, 0.0000), Ga at (0.0000, 0.3658, 0.0000), Ga at (0.2237, 0.0000, 0.0000), Ga at (0.2341, 0.1731, 0.0000), Co at (0.0000, 0.5000, 0.5000), Co at (0.1116, 0.0905, 0.5000), Co at (0.1168, 0.2667, 0.5000) and Ni at (0.1578, 0.4198, 0.5000).

# 7
Below is a relaxed structure of Ga7CoNi4, with properties calculated at the PBE level.

The total magnetization is 1.1 μB/f.u. Its crystal system is monoclinic. The calculation puts the total energy at -4.40 eV per atom. The volume is 174 Å³/f.u.

The structure belongs to space group C2/m (No. 12); the cell edges are 12.0016, 4.3266 and 8.5634 Å and the angles 90.00°, 128.48° and 90.00°. The inequivalent atoms are Ga at (0.0000, 0.0000, 0.0000), Ga at (0.0719, 0.5000, 0.3305), Ga at (0.1574, 0.0000, 0.6025), Ga at (0.2116, 0.5000, 0.8600), Co at (0.0000, 0.5000, 0.0000), Ni at (0.0658, 0.0000, 0.7851) and Ni at (0.2022, 0.0000, 0.3485).

# 8
Below is a relaxed structure of Ga2CoNi5, with properties calculated at the PBE level.

The total magnetization is 2.6 μB/f.u. Its crystal system is orthorhombic. The calculation puts the total energy at -5.50 eV per atom. The volume is 92 Å³/f.u.

The structure belongs to space group Pbam (No. 55); the cell edges are 5.0714, 10.1445 and 3.5821 Å and the angles 90.00°, 90.00° and 90.00°. The inequivalent atoms are Ga at (0.2467, 0.1269, 0.0000), Co at (0.0000, 0.5000, 0.5000), Ni at (0.0000, 0.0000, 0.5000), Ni at (0.0001, 0.2513, 0.5000) and Ni at (0.2477, 0.3771, 0.0000).

# 9
Below is a relaxed structure of GaCoNi3, with properties calculated at the PBE level.

The total magnetization is 3.7 μB/f.u. Its crystal system is cubic. The value obtained for the energy above the most stable polymorph in this dataset is 571 meV/atom. The volume is 78 Å³/f.u.

The structure belongs to space group Pm-3m (No. 221); the cell edges are 4.2650, 4.2650 and 4.2650 Å and the angles 90.00°, 90.00° and 90.00°. The inequivalent atoms are Ga at (0.0000, 0.0000, 0.0000), Co at (0.5000, 0.5000, 0.5000) and Ni at (0.0000, 0.5000, 0.5000).

# 10
Below is a relaxed structure of Ga3CoNi, with properties calculated at the PBE level.

The total magnetization is 0.0 μB/f.u. Its crystal system is orthorhombic. The value obtained for the energy above the most stable polymorph in this dataset is 0 meV/atom. The volume is 70 Å³/f.u.

The structure belongs to space group Imma (No. 74); the cell edges are 4.0425, 11.4361 and 12.1325 Å and the angles 90.00°, 90.00° and 90.00°. The inequivalent atoms are Ga at (0.0000, 0.1204, 0.0045), Ga at (0.0000, 0.1229, 0.6602), Ga at (0.0000, 0.1295, 0.3423), Co at (0.0000, 0.2500, 0.5036), Co at (0.0000, 0.2500, 0.8343) and Ni at (0.0000, 0.0031, 0.1773).

# 11
Below is a relaxed structure of GaCoNi2, with properties calculated at the PBE level.

The total magnetization is 1.9 μB/f.u. Its crystal system is tetragonal. The calculation puts the total energy at -5.61 eV per atom. The volume is 46 Å³/f.u.

The structure belongs to space group P4/mmm (No. 123); the cell edges are 3.5727, 3.5727 and 3.6151 Å and the angles 90.00°, 90.00° and 90.00°. The inequivalent atoms are Ga at (0.0000, 0.0000, 0.0000), Co at (0.5000, 0.5000, 0.0000) and Ni at (0.0000, 0.5000, 0.5000).

# 12
Below is a relaxed structure of Ga3Co2Ni, with properties calculated at the PBE level.

The total magnetization is 0.0 μB/f.u. Its crystal system is tetragonal. The value obtained for the energy above the most stable polymorph in this dataset is 0 meV/atom. The volume is 73 Å³/f.u.

The structure belongs to space group P4/mmm (No. 123); the cell edges are 2.8209, 2.8209 and 9.1565 Å and the angles 90.00°, 90.00° and 90.00°. The inequivalent atoms are Ga at (0.0000, 0.0000, 0.0000), Ga at (0.0000, 0.0000, 0.3292), Co at (0.5000, 0.5000, 0.1639) and Ni at (0.5000, 0.5000, 0.5000).

# 13
Below is a relaxed structure of Ga4Co3Ni, with properties calculated at the PBE level.

The total magnetization is 0.9 μB/f.u. Its crystal system is tetragonal. The calculation puts the total energy at -5.20 eV per atom. The volume is 97 Å³/f.u.

The structure belongs to space group P4/mmm (No. 123); the cell edges are 2.8963, 2.8963 and 11.5673 Å and the angles 90.00°, 90.00° and 90.00°. The inequivalent atoms are Ga at (0.0000, 0.0000, 0.1247), Ga at (0.0000, 0.0000, 0.3728), Co at (0.5000, 0.5000, 0.0000), Co at (0.5000, 0.5000, 0.2487) and Ni at (0.5000, 0.5000, 0.5000).

# 14
Below is a relaxed structure of GaCoNi4, with properties calculated at the PBE level.

The total magnetization is 3.1 μB/f.u. Its crystal system is orthorhombic. The value obtained for the energy above the most stable polymorph in this dataset is 0 meV/atom. The volume is 68 Å³/f.u.

The structure belongs to space group Pmmm (No. 47); the cell edges are 2.5593, 3.4868 and 7.6301 Å and the angles 90.00°, 90.00° and 90.00°. The inequivalent atoms are Ga at (0.0000, 0.0000, 0.0000), Co at (0.5000, 0.5000, 0.5000), Ni at (0.0000, 0.0000, 0.3409) and Ni at (0.5000, 0.5000, 0.1708).

# 15
Below is a relaxed structure of Ga5Co4Ni, with properties calculated at the PBE level.

The total magnetization is 0.0 μB/f.u. Its crystal system is tetragonal. The calculation puts the total energy at -5.23 eV per atom. The volume is 121 Å³/f.u.

The structure belongs to space group P4/mmm (No. 123); the cell edges are 2.8424, 2.8424 and 14.9531 Å and the angles 90.00°, 90.00° and 90.00°. The inequivalent atoms are Ga at (0.0000, 0.0000, 0.0000), Ga at (0.0000, 0.0000, 0.1979), Ga at (0.0000, 0.0000, 0.3970), Co at (0.5000, 0.5000, 0.0985), Co at (0.5000, 0.5000, 0.2965) and Ni at (0.5000, 0.5000, 0.5000).

# 16
Below is a relaxed structure of Ga2CoNi8, with properties calculated at the PBE level.

The total magnetization is 4.2 μB/f.u. Its crystal system is orthorhombic. The value obtained for the energy above the most stable polymorph in this dataset is 3 meV/atom. The volume is 133 Å³/f.u.

The structure belongs to space group Cmmm (No. 65); the cell edges are 7.2628, 9.7242 and 3.7669 Å and the angles 90.00°, 90.00° and 90.00°. The inequivalent atoms are Ga at (0.0000, 0.1289, 0.0000), Co at (0.0000, 0.5000, 0.5000), Ni at (0.0000, 0.2609, 0.5000), Ni at (0.1681, 0.3719, 0.0000) and Ni at (0.1699, 0.0000, 0.5000).

# 17
Below is a relaxed structure of Ga2CoNi8, with properties calculated at the PBE level.

The total magnetization is 4.2 μB/f.u. Its crystal system is monoclinic. The value obtained for the energy above the most stable polymorph in this dataset is 0 meV/atom. The volume is 133 Å³/f.u.

The structure belongs to space group C2/m (No. 12); the cell edges are 6.3450, 11.2836 and 4.1471 Å and the angles 90.00°, 116.65° and 90.00°. The inequivalent atoms are Ga at (0.0000, 0.1952, 0.0000), Co at (0.0000, 0.5000, 0.5000), Ni at (0.0000, 0.2933, 0.5000), Ni at (0.0970, 0.0000, 0.3101) and Ni at (0.2083, 0.3921, 0.1316).

# 18
Below is a relaxed structure of Ga3CoNi, with properties calculated at the PBE level.

The total magnetization is 0.3 μB/f.u. Its crystal system is cubic. The value obtained for the energy above the most stable polymorph in this dataset is 600 meV/atom. The volume is 88 Å³/f.u.

The structure belongs to space group Pm-3m (No. 221); the cell edges are 4.4504, 4.4504 and 4.4504 Å and the angles 90.00°, 90.00° and 90.00°. The inequivalent atoms are Ga at (0.0000, 0.0000, 0.5000), Co at (0.0000, 0.0000, 0.0000) and Ni at (0.5000, 0.5000, 0.5000).

# 19
Below is a relaxed structure of GaCoNi3, with properties calculated at the PBE level.

The total magnetization is 2.4 μB/f.u. Its crystal system is cubic. The value obtained for the energy above the most stable polymorph in this dataset is 727 meV/atom. The volume is 78 Å³/f.u.

The structure belongs to space group Pm-3m (No. 221); the cell edges are 4.2787, 4.2787 and 4.2787 Å and the angles 90.00°, 90.00° and 90.00°. The inequivalent atoms are Ga at (0.0000, 0.0000, 0.0000), Co at (0.5000, 0.5000, 0.5000) and Ni at (0.0000, 0.0000, 0.5000).

# 20
Below is a relaxed structure of Ga4CoNi, with properties calculated at the PBE level.

The total magnetization is 0.0 μB/f.u. Its crystal system is orthorhombic. The calculation puts the total energy at -4.28 eV per atom. The volume is 104 Å³/f.u.

The structure belongs to space group Cmmm (No. 65); the cell edges are 8.6205, 8.6210 and 2.8008 Å and the angles 90.00°, 90.00° and 90.00°. The inequivalent atoms are Ga at (0.0000, 0.2240, 0.0000), Ga at (0.2279, 0.5000, 0.5000), Co at (0.0000, 0.0000, 0.5000) and Ni at (0.0000, 0.5000, 0.0000).

DOS(E_F) (states/eV per atom)
1.341 0.698 1.412 1.169 0.661 0.615 0.617 0.978 1.243 0.410 1.168 0.455 0.570 0.940 0.569 1.256 1.289 0.801 1.493 0.541